! YCrW GGA-PBE relaxed; values from VASP
&SYSTEM
  ibrav = 0, nat = 3, ntyp = 3
/
ATOMIC_SPECIES
W 183.84 W.upf
Y 88.91 Y.upf
Cr 52.00 Cr.upf
ATOMIC_POSITIONS crystal
W 0.6667 0.3333 0.2590
Y 0.3333 0.6667 0.6746
Cr 0.0000 0.0000 0.0664
CELL_PARAMETERS angstrom
-4.3057 1.3120 -0.4539
1.2604 -2.4135 3.6129
0.6530 2.6848 1.5658
! E above lowest polymorph: 376 meV per atom
! N(E_F): 1.185 states/eV per atom
! ΔE_f: 0.653 eV per atom


! YCrW2 GGA-PBE relaxed; values from VASP
&SYSTEM
  ibrav = 0, nat = 4, ntyp = 3
/
ATOMIC_SPECIES
W 183.84 W.upf
Y 88.91 Y.upf
Cr 52.00 Cr.upf
ATOMIC_POSITIONS crystal
W 0.0058 0.0058 0.0058
W 0.2596 0.2596 0.2596
Y 0.4963 0.4963 0.4963
Cr 0.7382 0.7382 0.7382
CELL_PARAMETERS angstrom
9.2506 0.0227 0.0134
8.7502 3.0013 0.0134
8.7502 1.4700 2.6167
! E above lowest polymorph: 283 meV per atom
! N(E_F): 1.198 states/eV per atom
! ΔE_f: 0.682 eV per atom